Entry 1:
Material: Tb2Ho2Mg15
Method: DFT, GGA-PBE
State: optimized geometry

a b c (Å): 10.4571 10.4571 15.2685
angles (deg): 90.00 90.00 120.00
Closest atoms and distances in Å follow each position.
Space group R-3m (No. 166, hexagonal axes)
One atom of each set of equivalent atoms:
Tb (0.0000, 0.0000, 0.1714) x6  1 Ho 3.49, 15 Mg 3.68-3.90
Ho (0.0000, 0.0000, 0.3999) x6  1 Ho 3.06, 6 Mg 3.19-3.37
Mg (0.0000, 0.2990, 0.5000) x18  8 Mg 3.00-3.27
Mg (0.0000, 0.5000, 0.0000) x9  8 Mg 3.00-3.08, 2 Ho 3.19
Mg (0.0095, 0.5047, 0.6471) x18  8 Mg 2.99-3.27

ΔH_f (0 K), eV/atom: 0.027
DOS(E_F), states/eV/atom: 0.739
Magnetic moment, μB per cell: 0.0

Entry 2:
Material: LiNdHgPd
Method: DFT, GGA-PBE
State: optimized geometry

a b c (Å): 7.0779 7.0779 7.0779
angles (deg): 90.00 90.00 90.00
Closest atoms and distances in Å follow each position.
Space group F-43m (No. 216)
One atom of each set of equivalent atoms:
Li (0.0000, 0.0000, 0.0000) x4  4 Pd 3.06, 4 Hg 3.06
Nd (0.0000, 0.0000, 0.5000) x4  4 Hg 3.06, 4 Pd 3.06
Hg (0.2500, 0.2500, 0.2500) x4  4 Li 3.06, 4 Nd 3.06
Pd (0.2500, 0.2500, 0.7500) x4  4 Li 3.06, 4 Nd 3.06

ΔH_f (0 K), eV/atom: -0.463
DOS(E_F), states/eV/atom: 0.689
Magnetic moment, μB per cell: 0.0

Entry 3:
Material: Ta3NbGe
Method: DFT, GGA-PBE
State: optimized geometry

a b c (Å): 4.6811 4.6811 14.0869
angles (deg): 90.00 90.00 120.00
Closest atoms and distances in Å follow each position.
Space group R3m (No. 160, hexagonal axes)
One atom of each set of equivalent atoms:
Ta (0.0000, 0.0000, 0.0000) x3  1 Ge 2.83, 3 Nb 2.85, 4 Ta 2.86-2.88
Ta (0.0000, 0.0000, 0.2033) x3  1 Nb 2.73, 4 Ta 2.83-2.86, 3 Ge 2.88
Ta (0.0000, 0.0000, 0.5966) x3  1 Nb 2.81, 6 Ta 2.83-2.88, 1 Ge 2.85
Nb (0.0000, 0.0000, 0.3970) x3  5 Ta 2.73-2.85, 3 Ge 2.87
Ge (0.0000, 0.0000, 0.7990) x3  5 Ta 2.83-2.88, 3 Nb 2.87

ΔH_f (0 K), eV/atom: -0.013
Distance to the lowest polymorph of the same formula, meV/atom: 0
DOS(E_F), states/eV/atom: 0.982
Magnetic moment, μB per cell: 0.0

Entry 4:
Material: BaZnBr
Method: DFT, GGA-PBE
State: optimized geometry

a b c (Å): 4.2916 19.9276 4.6311
angles (deg): 90.00 90.00 90.00
Closest atoms and distances in Å follow each position.
Space group Cmcm (No. 63)
One atom of each set of equivalent atoms:
Ba (0.0000, 0.1266, 0.2500) x4  5 Br 3.44-3.55, 6 Zn 3.58-3.84
Zn (0.0000, 0.4831, 0.2500) x4  2 Zn 2.41
Br (0.0000, 0.3047, 0.2500) x4  5 Ba 3.44-3.55, 1 Zn 3.56, 4 Br 3.84

Distance to the lowest polymorph of the same formula, meV/atom: 28
DOS(E_F), states/eV/atom: 0.305
Magnetic moment, μB per cell: 0.0

Entry 5:
Material: Ca2CdF8
Method: DFT, GGA-PBE
State: optimized geometry

a b c (Å): 3.8963 6.0427 11.7871
angles (deg): 90.00 90.00 90.00
Closest atoms and distances in Å follow each position.
Space group Immm (No. 71)
One atom of each set of equivalent atoms:
Ca (0.0000, 0.0000, 0.1870) x4  8 F 2.37-2.42
Cd (0.0000, 0.0000, 0.5000) x2  8 F 2.38-2.53
F (0.0000, 0.1646, 0.0000) x4  1 F 1.99
F (0.0000, 0.2672, 0.3343) x8  3 Ca 2.37-2.42, 1 Cd 2.53, 2 F 2.60
F (0.0000, 0.5000, 0.1157) x4  2 Cd 2.38, 6 F 2.44-2.60

Raw total energy, eV per atom: -4.4083
DOS(E_F), states/eV/atom: 1.000
Magnetic moment, μB per cell: 4.2

Entry 6:
Material: Sb2PbSeI
Method: DFT, GGA-PBE
State: optimized geometry

a b c (Å): 5.9459 5.9459 5.8826
angles (deg): 90.00 90.00 90.00
Closest atoms and distances in Å follow each position.
Space group P4/mmm (No. 123)
One atom of each set of equivalent atoms:
Sb (0.0000, 0.5000, 0.0000) x2  2 Pb 2.97
Pb (0.0000, 0.0000, 0.0000) x1  2 I 2.94, 4 Sb 2.97
Se (0.5000, 0.5000, 0.5000) x1  8 Sb 4.18, 4 I 4.20
I (0.0000, 0.0000, 0.5000) x1  2 Pb 2.94

Distance to the lowest polymorph of the same formula, meV/atom: 432
DOS(E_F), states/eV/atom: 0.977
Magnetic moment, μB per cell: 0.7

Entry 7:
Material: DyThInPd
Method: DFT, GGA-PBE
State: optimized geometry

a b c (Å): 7.4344 7.4344 7.4344
angles (deg): 90.00 90.00 90.00
Closest atoms and distances in Å follow each position.
Space group F-43m (No. 216)
One atom of each set of equivalent atoms:
Dy (0.0000, 0.0000, 0.0000) x4  4 In 3.22, 4 Pd 3.22
Th (0.0000, 0.0000, 0.5000) x4  4 Pd 3.22, 4 In 3.22
In (0.2500, 0.2500, 0.2500) x4  4 Th 3.22, 4 Dy 3.22
Pd (0.2500, 0.2500, 0.7500) x4  4 Th 3.22, 4 Dy 3.22

ΔH_f (0 K), eV/atom: -0.439
DOS(E_F), states/eV/atom: 1.042
Magnetic moment, μB per cell: 1.3

Entry 8:
Material: MgNi2Cl
Method: DFT, GGA-PBE
State: optimized geometry

a b c (Å): 3.2348 3.2348 5.5533
angles (deg): 90.00 90.00 90.00
Closest atoms and distances in Å follow each position.
Space group P4/mmm (No. 123)
One atom of each set of equivalent atoms:
Mg (0.0000, 0.0000, 0.0000) x1  8 Ni 2.62, 2 Cl 2.78
Ni (0.5000, 0.5000, 0.2296) x2  1 Ni 2.55, 4 Mg 2.62, 4 Cl 2.74
Cl (0.0000, 0.0000, 0.5000) x1  8 Ni 2.74, 2 Mg 2.78

Distance to the lowest polymorph of the same formula, meV/atom: 292
DOS(E_F), states/eV/atom: 1.489
Magnetic moment, μB per cell: 0.8

Entry 9:
Material: AcNdDyEr
Method: DFT, GGA-PBE
State: optimized geometry

a b c (Å): 8.2868 8.2868 8.2868
angles (deg): 90.00 90.00 90.00
Closest atoms and distances in Å follow each position.
Space group F-43m (No. 216)
One atom of each set of equivalent atoms:
Ac (0.0000, 0.0000, 0.0000) x4  4 Er 3.59, 4 Dy 3.59
Nd (0.0000, 0.0000, 0.5000) x4  4 Dy 3.59, 4 Er 3.59
Dy (0.2500, 0.2500, 0.2500) x4  4 Ac 3.59, 4 Nd 3.59
Er (0.2500, 0.2500, 0.7500) x4  4 Ac 3.59, 4 Nd 3.59

ΔH_f (0 K), eV/atom: 0.111
Distance to the lowest polymorph of the same formula, meV/atom: 49
DOS(E_F), states/eV/atom: 1.802
Magnetic moment, μB per cell: 0.0

Entry 10:
Material: Pm2Er2Tm7
Method: DFT, GGA-PBE
State: optimized geometry

a b c (Å): 11.0982 11.4177 6.0241
angles (deg): 90.00 114.01 90.00
Closest atoms and distances in Å follow each position.
Space group C2/m (No. 12)
One atom of each set of equivalent atoms:
Pm (0.0932, 0.0000, 0.3057) x4  2 Pm 3.41-3.70, 7 Tm 3.42-3.72, 2 Er 3.70
Er (0.0000, 0.2874, 0.0000) x4  6 Tm 3.25-3.41
Tm (0.0000, 0.5000, 0.5000) x2  6 Tm 3.25-3.37
Tm (0.1739, 0.2624, 0.6796) x8  6 Tm 3.25-3.58, 2 Er 3.25-3.39, 1 Pm 3.63
Tm (0.2289, 0.5000, 0.0779) x4  5 Tm 3.32-3.51, 2 Er 3.41, 3 Pm 3.42-3.70

ΔH_f (0 K), eV/atom: 0.159
Distance to the lowest polymorph of the same formula, meV/atom: 0
DOS(E_F), states/eV/atom: 1.642
Magnetic moment, μB per cell: 0.0

Entry 11:
Material: TaTi2Os
Method: DFT, GGA-PBE
State: optimized geometry

a b c (Å): 7.2265 7.2265 5.3836
angles (deg): 90.00 90.00 90.00
Closest atoms and distances in Å follow each position.
Space group I-42d (No. 122)
One atom of each set of equivalent atoms:
Ta (0.0000, 0.0000, 0.0000) x4  2 Os 2.69, 4 Ti 2.81
Ti (0.2167, 0.2500, 0.6250) x8  2 Os 2.48, 2 Ti 2.73
Os (0.0000, 0.0000, 0.5000) x4  4 Ti 2.48, 2 Ta 2.69

ΔH_f (0 K), eV/atom: 0.242
Distance to the lowest polymorph of the same formula, meV/atom: 574
DOS(E_F), states/eV/atom: 0.790
Magnetic moment, μB per cell: 0.0

Entry 12:
Material: Dy2Al2GaPt5
Method: DFT, GGA-PBE
State: optimized geometry

a b c (Å): 9.8592 9.8592 3.6461
angles (deg): 90.00 90.00 90.00
Closest atoms and distances in Å follow each position.
Space group P4/mbm (No. 127)
One atom of each set of equivalent atoms:
Dy (0.1772, 0.3228, 0.0000) x4  3 Al 2.80-3.00, 2 Pt 3.07
Al (0.1222, 0.6222, 0.0000) x4  6 Pt 2.50-2.56
Ga (0.0000, 0.0000, 0.0000) x2  8 Pt 2.80
Pt (0.0000, 0.5000, 0.5000) x2  4 Al 2.50
Pt (0.0622, 0.7943, 0.5000) x8  2 Al 2.56, 2 Ga 2.80

ΔH_f (0 K), eV/atom: -0.954
DOS(E_F), states/eV/atom: 0.499
Magnetic moment, μB per cell: 0.0